(1)
VASP calculation (PBE-GGA) on crystalline GaTeSeBr2 at its relaxed geometry.

Its symmetry is P4/mmm. The calculation puts the size of the total moment at 0.000 μB per formula unit.

abc: 5.6322 5.6322 5.5040
angles: 90.00 90.00 90.00
Last column: nearest neighbours and their distance in Å.
Fractional coordinates of all 5 atoms:
Se (0.0000, 0.0000, 0.5000)  2 Te 2.75
Te (0.0000, 0.0000, 0.0000)  2 Se 2.75, 4 Br 2.82
Br (0.5000, 0.0000, 0.0000)  2 Te 2.82
Br (0.0000, 0.5000, 0.0000)  2 Te 2.82
Ga (0.5000, 0.5000, 0.5000)  8 Br 3.94, 4 Se 3.98

=====

(2)
VASP calculation (PBE-GGA) on crystalline GaTeSeBr2 at its relaxed geometry.

Its symmetry is P4/mmm. The calculation puts the size of the total moment at 0.958 μB per formula unit.

abc: 5.0181 5.0181 5.4411
angles: 90.00 90.00 90.00
Last column: nearest neighbours and their distance in Å.
Fractional coordinates of all 5 atoms:
Br (0.0000, 0.5000, 0.0000)  2 Ga 2.51
Br (0.5000, 0.0000, 0.0000)  2 Ga 2.51
Se (0.0000, 0.0000, 0.5000)  2 Ga 2.72
Te (0.5000, 0.5000, 0.5000)  4 Se 3.55, 8 Br 3.70
Ga (0.0000, 0.0000, 0.0000)  4 Br 2.51, 2 Se 2.72

=====

Verdict on stability: (1) comes out on top.

=====

(1)
VASP calculation (PBE-GGA) on crystalline TiGaSeBr2 at its relaxed geometry.

Its symmetry is P4/mmm. The calculation puts the size of the total moment at 0.992 μB per formula unit.

abc: 5.2676 5.2676 4.9697
angles: 90.00 90.00 90.00
Last column: nearest neighbours and their distance in Å.
Fractional coordinates of all 5 atoms:
Se (0.0000, 0.0000, 0.5000)  2 Ti 2.48
Ga (0.5000, 0.5000, 0.5000)  8 Br 3.62, 4 Se 3.72
Br (0.0000, 0.5000, 0.0000)  2 Ti 2.63
Br (0.5000, 0.0000, 0.0000)  2 Ti 2.63
Ti (0.0000, 0.0000, 0.0000)  2 Se 2.48, 4 Br 2.63

=====

(2)
VASP calculation (PBE-GGA) on crystalline TiGaSeBr2 at its relaxed geometry.

Its symmetry is P4/mmm. The calculation puts the size of the total moment at 0.164 μB per formula unit.

abc: 5.0965 5.0965 5.1185
angles: 90.00 90.00 90.00
Last column: nearest neighbours and their distance in Å.
Fractional coordinates of all 5 atoms:
Br (0.0000, 0.5000, 0.0000)  2 Ga 2.55
Br (0.5000, 0.0000, 0.0000)  2 Ga 2.55
Ga (0.0000, 0.0000, 0.0000)  4 Br 2.55, 2 Se 2.56
Ti (0.5000, 0.5000, 0.5000)  4 Se 3.60, 8 Br 3.61
Se (0.0000, 0.0000, 0.5000)  2 Ga 2.56

=====

Verdict on stability: (1) comes out on top.

=====

(1)
VASP calculation (PBE-GGA) on crystalline TlGaSeBr2 at its relaxed geometry.

Its symmetry is P4/mmm. The calculation puts the size of the total moment at 0.136 μB per formula unit.

abc: 5.7286 5.3763 5.7286
angles: 90.00 90.00 90.00
Last column: nearest neighbours and their distance in Å.
Fractional coordinates of all 5 atoms:
Br (0.0000, 0.0000, 0.5000)  2 Tl 2.86
Br (0.5000, 0.0000, 0.0000)  2 Tl 2.86
Se (0.0000, 0.5000, 0.0000)  2 Tl 2.69
Tl (0.0000, 0.0000, 0.0000)  2 Se 2.69, 4 Br 2.86
Ga (0.5000, 0.5000, 0.5000)  8 Br 3.93, 4 Se 4.05

=====

(2)
VASP calculation (PBE-GGA) on crystalline TlGaSeBr2 at its relaxed geometry.

Its symmetry is P4/mmm. The calculation puts the size of the total moment at 0.000 μB per formula unit.

abc: 5.3741 5.3741 5.0205
angles: 90.00 90.00 90.00
Last column: nearest neighbours and their distance in Å.
Fractional coordinates of all 5 atoms:
Ga (0.0000, 0.0000, 0.0000)  2 Se 2.51, 4 Br 2.69
Se (0.0000, 0.0000, 0.5000)  2 Ga 2.51
Br (0.0000, 0.5000, 0.0000)  2 Ga 2.69
Br (0.5000, 0.0000, 0.0000)  2 Ga 2.69
Tl (0.5000, 0.5000, 0.5000)  8 Br 3.68, 4 Se 3.80

=====

Verdict on stability: (2) comes out on top.

=====

(1)
VASP calculation (PBE-GGA) on crystalline TlGaSe2Br at its relaxed geometry.

Its symmetry is P4/mmm. The calculation puts the size of the total moment at 0.000 μB per formula unit.

abc: 5.0252 5.0252 5.5040
angles: 90.00 90.00 90.00
Last column: nearest neighbours and their distance in Å.
Fractional coordinates of all 5 atoms:
Ga (0.0000, 0.0000, 0.0000)  4 Se 2.51, 2 Br 2.75
Br (0.0000, 0.0000, 0.5000)  2 Ga 2.75
Tl (0.5000, 0.5000, 0.5000)  4 Br 3.55, 8 Se 3.73
Se (0.0000, 0.5000, 0.0000)  2 Ga 2.51
Se (0.5000, 0.0000, 0.0000)  2 Ga 2.51

=====

(2)
VASP calculation (PBE-GGA) on crystalline TlGaSe2Br at its relaxed geometry.

Its symmetry is P4/mmm. The calculation puts the size of the total moment at 0.474 μB per formula unit.

abc: 5.3874 5.3874 5.8184
angles: 90.00 90.00 90.00
Last column: nearest neighbours and their distance in Å.
Fractional coordinates of all 5 atoms:
Se (0.5000, 0.0000, 0.0000)  2 Tl 2.69
Se (0.0000, 0.5000, 0.0000)  2 Tl 2.69
Ga (0.5000, 0.5000, 0.5000)  4 Br 3.81, 8 Se 3.96
Br (0.0000, 0.0000, 0.5000)  2 Tl 2.91
Tl (0.0000, 0.0000, 0.0000)  4 Se 2.69, 2 Br 2.91

=====

Verdict on stability: (1) comes out on top.

=====

(1)
VASP calculation (PBE-GGA) on crystalline YGaSe2Br at its relaxed geometry.

Its symmetry is P4/mmm. The calculation puts the size of the total moment at 0.000 μB per formula unit.

abc: 5.0691 5.0691 4.9436
angles: 90.00 90.00 90.00
Last column: nearest neighbours and their distance in Å.
Fractional coordinates of all 5 atoms:
Se (0.5000, 0.0000, 0.0000)  2 Ga 2.53
Se (0.0000, 0.5000, 0.0000)  2 Ga 2.53
Ga (0.0000, 0.0000, 0.0000)  2 Br 2.47, 4 Se 2.53
Y (0.5000, 0.5000, 0.5000)  8 Se 3.54, 4 Br 3.58
Br (0.0000, 0.0000, 0.5000)  2 Ga 2.47

=====

(2)
VASP calculation (PBE-GGA) on crystalline YGaSe2Br at its relaxed geometry.

Its symmetry is P4/mmm. The calculation puts the size of the total moment at 0.343 μB per formula unit.

abc: 5.4871 5.4871 5.6555
angles: 90.00 90.00 90.00
Last column: nearest neighbours and their distance in Å.
Fractional coordinates of all 5 atoms:
Se (0.5000, 0.0000, 0.0000)  2 Y 2.74
Se (0.0000, 0.5000, 0.0000)  2 Y 2.74
Br (0.0000, 0.0000, 0.5000)  2 Y 2.83
Ga (0.5000, 0.5000, 0.5000)  4 Br 3.88, 8 Se 3.94
Y (0.0000, 0.0000, 0.0000)  4 Se 2.74, 2 Br 2.83

=====

Verdict on stability: (2) comes out on top.

=====

(1)
VASP calculation (PBE-GGA) on crystalline ZnGaSeBr2 at its relaxed geometry.

Its symmetry is P4/mmm. The calculation puts the size of the total moment at 0.000 μB per formula unit.

abc: 5.9068 4.7593 5.9068
angles: 90.00 90.00 90.00
Last column: nearest neighbours and their distance in Å.
Fractional coordinates of all 5 atoms:
Zn (0.0000, 0.5000, 0.0000)  2 Se 2.38
Se (0.0000, 0.0000, 0.0000)  2 Zn 2.38
Br (0.0000, 0.0000, 0.5000)  2 Se 2.95
Br (0.5000, 0.0000, 0.0000)  2 Se 2.95
Ga (0.5000, 0.5000, 0.5000)  8 Br 3.79, 4 Zn 4.18

=====

(2)
VASP calculation (PBE-GGA) on crystalline ZnGaSeBr2 at its relaxed geometry.

Its symmetry is P4/mmm. The calculation puts the size of the total moment at 0.000 μB per formula unit.

abc: 5.2793 5.2793 4.9433
angles: 90.00 90.00 90.00
Last column: nearest neighbours and their distance in Å.
Fractional coordinates of all 5 atoms:
Zn (0.0000, 0.0000, 0.0000)  2 Se 2.47, 4 Br 2.64
Ga (0.5000, 0.5000, 0.5000)  8 Br 3.62, 4 Se 3.73
Br (0.0000, 0.5000, 0.0000)  2 Zn 2.64
Br (0.5000, 0.0000, 0.0000)  2 Zn 2.64
Se (0.0000, 0.0000, 0.5000)  2 Zn 2.47

=====

Verdict on stability: (2) comes out on top.